{
  "formula": "CrCuHg",
  "functional": "SCAN",
  "state": "single point on PBEsol structure",
  "lattice": [[4.2197, 0.0000, 0.0000], [2.1099, 3.6544, 0.0000], [2.1099, 1.2181, 3.4454]],
  "species": ["Cr", "Cu", "Hg"],
  "frac_coords": [[0.5000, 0.5000, 0.5000], [0.2500, 0.2500, 0.2500], [0.0000, 0.0000, 0.0000]],
  "total_energy_ev_per_atom": -33.581
}